Material: VCo2GeO6
Method: DFT, PBE with a Hubbard U
State: optimized geometry

## Properties
* volume: 9.903 Å³ per atom
* E: -6.66 eV/atom

a b c (Å): 4.995 4.995 5.414
angles (deg): 62.54 62.53 60.00
Last column: magnetic moment on the atom in μB.
Element x y z (fractional)
O: 0.946 0.606 0.238  0.03
V: 0.813 0.813 0.562  1.87
O: 0.606 0.210 0.238  0.03
Co: 0.526 0.526 0.421  2.69
O: 0.107 0.402 0.770  0.01
Ge: 0.322 0.322 0.035  0.02
O: 0.210 0.946 0.238  0.03
Co: 0.009 0.009 0.973  0.16
O: 0.402 0.721 0.770  0.01
O: 0.721 0.107 0.770  0.01